Density functional theory data (PBE-GGA) for crystalline AlSb2TeIr at its relaxed geometry.

Cell: 5.7941 4.8247 5.7941 Å, 90.00 90.00 90.00°
Closest atoms and distances in Å follow each position.
Fractional coordinates of all 5 atoms:
Ir  0.0000  0.5000  0.0000  2 Te 2.41
Al  0.5000  0.5000  0.5000  8 Sb 3.77, 4 Ir 4.10
Te  0.0000  0.0000  0.0000  2 Ir 2.41
Sb  0.0000  0.0000  0.5000  2 Te 2.90
Sb  0.5000  0.0000  0.0000  2 Te 2.90

Properties
total magnetization	0.00	μB per formula unit
ΔE to the lowest computed polymorph	60.0	kJ/mol of atoms
V	162.0	Å³/f.u.
SG	No. 123
ΔE_f (raw)	1.182	eV per atom

Density functional theory data (PBE-GGA) for crystalline AlFeBiBr2 at its relaxed geometry.

Cell: 4.7233 5.7246 4.7233 Å, 90.00 90.00 90.00°
Closest atoms and distances in Å follow each position.
Fractional coordinates of all 5 atoms:
Bi  0.0000  0.5000  0.0000  2 Fe 2.86
Br  0.0000  0.0000  0.5000  2 Fe 2.36
Br  0.5000  0.0000  0.0000  2 Fe 2.36
Al  0.5000  0.5000  0.5000  4 Bi 3.34, 8 Br 3.71
Fe  0.0000  0.0000  0.0000  4 Br 2.36

Properties
total magnetization	0.19	μB per formula unit
V	127.7	Å³/f.u.
SG	No. 123
ΔE_f (raw)	0.371	eV per atom

- What is the ΔE_f (raw) in the second record?
  0.371 eV per atom

Copy entry 2 word for word.
Density functional theory data (PBE-GGA) for crystalline AlFeBiBr2 at its relaxed geometry.

Cell: 4.7233 5.7246 4.7233 Å, 90.00 90.00 90.00°
Closest atoms and distances in Å follow each position.
Fractional coordinates of all 5 atoms:
Bi  0.0000  0.5000  0.0000  2 Fe 2.86
Br  0.0000  0.0000  0.5000  2 Fe 2.36
Br  0.5000  0.0000  0.0000  2 Fe 2.36
Al  0.5000  0.5000  0.5000  4 Bi 3.34, 8 Br 3.71
Fe  0.0000  0.0000  0.0000  4 Br 2.36

Properties
total magnetization	0.19	μB per formula unit
V	127.7	Å³/f.u.
SG	No. 123
ΔE_f (raw)	0.371	eV per atom

- What is the total magnetization in the first record?
  0.00 μB per formula unit

- V of number 1 (AlSb2TeIr)?
  162.0 Å³/f.u.